Ca2NiSeF after structural relaxation, computed with PBE+U.

Calculated values
* excess energy over the best structure of this formula in the dataset: 481.5 meV per atom
* crystal system: tetragonal
* space-group type: P4/mmm, No. 123
* V: 26.69 Å³ per atom
* D(E_F): 1.59 states/eV/cell

Cell: 5.503 4.408 5.503 Å, 90.00 90.00 90.00°
Fractional positions:
Ni1 0.500 0.500 0.500
Ca1 0.000 0.000 0.500
Ca2 0.500 0.000 0.000
Se1 0.000 0.000 0.000
F1 0.000 0.500 0.000